! La2Te2Se, optimized geometry, DFT GGA-PBE; values from VASP
! - Uncorrected formation energy: -1.745 eV/atom
! - Symmetry: Cmcm (63)
! - Crystal system: orthorhombic
&SYSTEM
  ibrav = 0, nat = 10, ntyp = 3
/
ATOMIC_SPECIES
La 138.91 La.upf
Te 127.60 Te.upf
Se 78.96 Se.upf
CELL_PARAMETERS angstrom
2.236 -7.345 0.000
2.236 7.345 0.000
0.000 0.000 10.398
ATOMIC_POSITIONS crystal
La 0.000 0.000 0.000
La 0.000 0.000 0.500
La 0.267 0.733 0.750
La 0.733 0.267 0.250
Te 0.350 0.650 0.066
Te 0.350 0.650 0.434
Te 0.650 0.350 0.566
Te 0.650 0.350 0.934
Se 0.096 0.904 0.250
Se 0.904 0.096 0.750

! TiTc3Pb, optimized geometry, DFT GGA-PBE; values from VASP
! - Symmetry: Pm-3m (221)
! - Crystal system: cubic
! - Calculated formation energy: 2.3431 eV per atom
&SYSTEM
  ibrav = 0, nat = 5, ntyp = 3
/
ATOMIC_SPECIES
Ti 47.87 Ti.upf
Tc 98.00 Tc.upf
Pb 207.20 Pb.upf
CELL_PARAMETERS angstrom
4.936 0.000 0.000
0.000 4.936 0.000
0.000 0.000 4.936
ATOMIC_POSITIONS crystal
Ti 0.000 0.000 0.000
Tc 0.000 0.500 0.500
Tc 0.500 0.000 0.500
Tc 0.500 0.500 0.000
Pb 0.500 0.500 0.500

! InTcOs2, optimized geometry, DFT GGA-PBE; values from VASP
! - Symmetry: Immm (71)
! - Crystal system: orthorhombic
! - Calculated formation energy: 0.5339 eV per atom
&SYSTEM
  ibrav = 0, nat = 4, ntyp = 3
/
ATOMIC_SPECIES
In 114.82 In.upf
Tc 98.00 Tc.upf
Os 190.23 Os.upf
CELL_PARAMETERS angstrom
-1.510 2.299 4.527
1.510 -2.299 4.527
1.510 2.299 -4.527
ATOMIC_POSITIONS crystal
In 0.000 0.000 0.000
Tc 0.500 0.500 0.000
Os 0.251 0.751 0.500
Os 0.749 0.249 0.500

! RbPuVSe4, optimized geometry, DFT GGA-PBE; values from VASP
! - Uncorrected formation energy: -1.110 eV/atom
! - Symmetry: P2_1/m (11)
! - Crystal system: monoclinic
&SYSTEM
  ibrav = 0, nat = 14, ntyp = 4
/
ATOMIC_SPECIES
Rb 85.47 Rb.upf
Pu 244.00 Pu.upf
V 50.94 V.upf
Se 78.96 Se.upf
CELL_PARAMETERS angstrom
6.729 0.000 0.000
0.000 6.883 0.000
-3.030 0.000 9.051
ATOMIC_POSITIONS crystal
Rb 0.236 0.250 0.438
Rb 0.764 0.750 0.562
Pu 0.277 0.250 0.953
Pu 0.723 0.750 0.047
V 0.282 0.750 0.169
V 0.718 0.250 0.831
Se 0.076 0.750 0.324
Se 0.076 0.750 0.925
Se 0.482 0.511 0.789
Se 0.482 0.989 0.789
Se 0.518 0.011 0.211
Se 0.518 0.489 0.211
Se 0.924 0.250 0.075
Se 0.924 0.250 0.676

! Er4NO4, optimized geometry, DFT GGA-PBE; values from VASP
! - Uncorrected formation energy: -2.752 eV/atom
! - Symmetry: I-42m (121)
! - Crystal system: tetragonal
&SYSTEM
  ibrav = 0, nat = 9, ntyp = 3
/
ATOMIC_SPECIES
Er 167.26 Er.upf
N 14.01 N.upf
O 16.00 O.upf
CELL_PARAMETERS angstrom
-2.742 2.742 5.022
2.742 -2.742 5.022
2.742 2.742 -5.022
ATOMIC_POSITIONS crystal
Er 0.159 0.159 0.560
Er 0.401 0.841 0.000
Er 0.599 0.599 0.440
Er 0.841 0.401 0.000
N 0.500 0.500 0.000
O 0.000 0.500 0.500
O 0.221 0.221 0.000
O 0.500 0.000 0.500
O 0.779 0.779 0.000

! UGaCo, optimized geometry, DFT GGA-PBE; values from VASP
! - Symmetry: I4mm (107)
! - Crystal system: tetragonal
! - Calculated formation energy: -0.2056 eV per atom
&SYSTEM
  ibrav = 0, nat = 3, ntyp = 3
/
ATOMIC_SPECIES
U 238.03 U.upf
Ga 69.72 Ga.upf
Co 58.93 Co.upf
CELL_PARAMETERS angstrom
-1.498 1.498 5.383
1.498 -1.498 5.383
1.498 1.498 -5.383
ATOMIC_POSITIONS crystal
U 0.000 0.000 0.000
Ga 0.289 0.289 0.000
Co 0.653 0.653 0.000

! Ba2SrAlO, optimized geometry, DFT GGA-PBE; values from VASP
! - Uncorrected formation energy: -1.065 eV/atom
! - Symmetry: P4/mmm (123)
! - Crystal system: tetragonal
&SYSTEM
  ibrav = 0, nat = 5, ntyp = 4
/
ATOMIC_SPECIES
Ba 137.33 Ba.upf
Sr 87.62 Sr.upf
Al 26.98 Al.upf
O 16.00 O.upf
CELL_PARAMETERS angstrom
5.603 0.000 0.000
0.000 5.603 0.000
0.000 0.000 5.061
ATOMIC_POSITIONS crystal
Ba 0.000 0.500 0.000
Ba 0.500 0.000 0.000
Sr 0.000 0.000 0.500
Al 0.500 0.500 0.500
O 0.000 0.000 0.000

! Zn3GaBi, optimized geometry, DFT GGA-PBE; values from VASP
! - Symmetry: Pm-3m (221)
! - Crystal system: cubic
! - Calculated formation energy: 0.6678 eV per atom
&SYSTEM
  ibrav = 0, nat = 5, ntyp = 3
/
ATOMIC_SPECIES
Zn 65.41 Zn.upf
Ga 69.72 Ga.upf
Bi 208.98 Bi.upf
CELL_PARAMETERS angstrom
5.457 0.000 0.000
0.000 5.457 0.000
0.000 0.000 5.457
ATOMIC_POSITIONS crystal
Zn 0.000 0.000 0.500
Zn 0.000 0.500 0.000
Zn 0.500 0.000 0.000
Ga 0.500 0.500 0.500
Bi 0.000 0.000 0.000

! Cs3Cd2H8, optimized geometry, DFT GGA-PBE; values from VASP
! - Symmetry: R-3m (166)
! - E_tot: -2.38 eV/atom
! - Crystal system: trigonal
&SYSTEM
  ibrav = 0, nat = 13, ntyp = 3
/
ATOMIC_SPECIES
Cs 132.91 Cs.upf
Cd 112.41 Cd.upf
H 1.01 H.upf
CELL_PARAMETERS angstrom
3.253 1.878 7.574
-3.253 1.878 7.574
0.000 -3.756 7.574
ATOMIC_POSITIONS crystal
Cs 0.000 0.000 0.000
Cs 0.212 0.212 0.212
Cs 0.788 0.788 0.788
Cd 0.428 0.428 0.428
Cd 0.572 0.572 0.572
H 0.240 0.720 0.720
H 0.280 0.280 0.760
H 0.280 0.760 0.280
H 0.347 0.347 0.347
H 0.653 0.653 0.653
H 0.720 0.240 0.720
H 0.720 0.720 0.240
H 0.760 0.280 0.280

! Ac4Bi2Os, optimized geometry, DFT GGA-PBE; values from VASP
! - Symmetry: I4/mmm (139)
! - Crystal system: tetragonal
! - Calculated formation energy: -0.4410 eV per atom
&SYSTEM
  ibrav = 0, nat = 7, ntyp = 3
/
ATOMIC_SPECIES
Ac 227.00 Ac.upf
Bi 208.98 Bi.upf
Os 190.23 Os.upf
CELL_PARAMETERS angstrom
-2.793 2.793 8.956
2.793 -2.793 8.956
2.793 2.793 -8.956
ATOMIC_POSITIONS crystal
Ac 0.000 0.500 0.500
Ac 0.169 0.169 0.000
Ac 0.500 0.000 0.500
Ac 0.831 0.831 0.000
Bi 0.361 0.361 0.000
Bi 0.639 0.639 0.000
Os 0.000 0.000 0.000

! Ac4TlPb2, optimized geometry, DFT GGA-PBE; values from VASP
! - Symmetry: C2/m (12)
! - Crystal system: monoclinic
! - Calculated formation energy: -0.2540 eV per atom
&SYSTEM
  ibrav = 0, nat = 7, ntyp = 3
/
ATOMIC_SPECIES
Ac 227.00 Ac.upf
Tl 204.38 Tl.upf
Pb 207.20 Pb.upf
CELL_PARAMETERS angstrom
8.508 -2.367 0.000
8.508 2.367 0.000
-4.152 0.000 7.562
ATOMIC_POSITIONS crystal
Ac 0.121 0.121 0.328
Ac 0.371 0.371 0.215
Ac 0.629 0.629 0.785
Ac 0.879 0.879 0.672
Tl 0.500 0.500 0.000
Pb 0.264 0.264 0.766
Pb 0.736 0.736 0.234

! Y2TlCr, optimized geometry, DFT GGA-PBE; values from VASP
! - Symmetry: F-43m (216)
! - Crystal system: cubic
! - Calculated formation energy: 0.2208 eV per atom
&SYSTEM
  ibrav = 0, nat = 4, ntyp = 3
/
ATOMIC_SPECIES
Y 88.91 Y.upf
Tl 204.38 Tl.upf
Cr 52.00 Cr.upf
CELL_PARAMETERS angstrom
0.000 3.641 3.641
3.641 0.000 3.641
3.641 3.641 0.000
ATOMIC_POSITIONS crystal
Y 0.000 0.000 0.000
Y 0.250 0.250 0.250
Tl 0.500 0.500 0.500
Cr 0.750 0.750 0.750

! TlCu2F6, optimized geometry, DFT GGA-PBE; values from VASP
! - Uncorrected formation energy: -1.579 eV/atom
! - Symmetry: Fd-3m (227)
! - Crystal system: cubic
&SYSTEM
  ibrav = 0, nat = 18, ntyp = 3
/
ATOMIC_SPECIES
Tl 204.38 Tl.upf
Cu 63.55 Cu.upf
F 19.00 F.upf
CELL_PARAMETERS angstrom
0.000 5.138 5.138
5.138 0.000 5.138
5.138 5.138 0.000
ATOMIC_POSITIONS crystal
Tl 0.125 0.125 0.125
Tl 0.875 0.875 0.875
Cu 0.000 0.500 0.500
Cu 0.500 0.000 0.500
Cu 0.500 0.500 0.000
Cu 0.500 0.500 0.500
F 0.181 0.181 0.569
F 0.181 0.569 0.181
F 0.181 0.569 0.569
F 0.431 0.431 0.819
F 0.431 0.819 0.431
F 0.431 0.819 0.819
F 0.569 0.181 0.181
F 0.569 0.181 0.569
F 0.569 0.569 0.181
F 0.819 0.431 0.431
F 0.819 0.431 0.819
F 0.819 0.819 0.431

! NaCaTaTiO6, optimized geometry, DFT GGA-PBE; values from VASP
! - Uncorrected formation energy: -2.883 eV/atom
! - Symmetry: Pc (7)
! - Crystal system: monoclinic
&SYSTEM
  ibrav = 0, nat = 20, ntyp = 5
/
ATOMIC_SPECIES
Na 22.99 Na.upf
Ca 40.08 Ca.upf
Ta 180.95 Ta.upf
Ti 47.87 Ti.upf
O 16.00 O.upf
CELL_PARAMETERS angstrom
5.461 0.000 0.000
0.000 5.557 0.000
-5.451 0.000 7.771
ATOMIC_POSITIONS crystal
Na 0.000 0.229 0.000
Na 0.000 0.771 0.500
Ca 0.513 0.298 0.501
Ca 0.513 0.702 0.001
Ta 0.260 0.241 0.751
Ta 0.260 0.759 0.251
Ti 0.759 0.245 0.247
Ti 0.759 0.755 0.747
O 0.077 0.233 0.500
O 0.077 0.767 0.000
O 0.432 0.268 0.003
O 0.432 0.732 0.503
O 0.495 0.047 0.292
O 0.495 0.953 0.792
O 0.567 0.465 0.786
O 0.567 0.535 0.286
O 0.911 0.041 0.710
O 0.911 0.959 0.210
O 0.993 0.466 0.216
O 0.993 0.534 0.716

! Dy6Pd5Au, optimized geometry, DFT GGA-PBE; values from VASP
! - Symmetry: C2/m (12)
! - Crystal system: monoclinic
! - Calculated formation energy: -0.8777 eV per atom
&SYSTEM
  ibrav = 0, nat = 12, ntyp = 3
/
ATOMIC_SPECIES
Dy 162.50 Dy.upf
Pd 106.42 Pd.upf
Au 196.97 Au.upf
CELL_PARAMETERS angstrom
7.875 -3.523 0.000
7.875 3.523 0.000
-1.571 0.000 4.734
ATOMIC_POSITIONS crystal
Dy 0.080 0.584 0.332
Dy 0.246 0.754 0.000
Dy 0.416 0.920 0.668
Dy 0.584 0.080 0.332
Dy 0.754 0.246 0.000
Dy 0.920 0.416 0.668
Pd 0.000 0.000 0.500
Pd 0.167 0.167 0.166
Pd 0.332 0.332 0.833
Pd 0.668 0.668 0.167
Pd 0.833 0.833 0.834
Au 0.500 0.500 0.500

! TbMgTlRh, optimized geometry, DFT GGA-PBE; values from VASP
! - Symmetry: F-43m (216)
! - Crystal system: cubic
! - Calculated formation energy: -0.3534 eV per atom
&SYSTEM
  ibrav = 0, nat = 4, ntyp = 4
/
ATOMIC_SPECIES
Tb 158.93 Tb.upf
Mg 24.30 Mg.upf
Tl 204.38 Tl.upf
Rh 102.91 Rh.upf
CELL_PARAMETERS angstrom
0.000 3.495 3.495
3.495 0.000 3.495
3.495 3.495 0.000
ATOMIC_POSITIONS crystal
Tb 0.000 0.000 0.000
Mg 0.500 0.500 0.500
Tl 0.750 0.750 0.750
Rh 0.250 0.250 0.250

! NbGa2B, optimized geometry, DFT GGA-PBE; values from VASP
! - Symmetry: I-42d (122)
! - Crystal system: tetragonal
! - Calculated formation energy: 0.1968 eV per atom
&SYSTEM
  ibrav = 0, nat = 8, ntyp = 3
/
ATOMIC_SPECIES
Nb 92.91 Nb.upf
Ga 69.72 Ga.upf
B 10.81 B.upf
CELL_PARAMETERS angstrom
-3.476 3.476 2.395
3.476 -3.476 2.395
3.476 3.476 -2.395
ATOMIC_POSITIONS crystal
Nb 0.000 0.000 0.000
Nb 0.750 0.250 0.500
Ga 0.202 0.125 0.577
Ga 0.375 0.798 0.923
Ga 0.548 0.625 0.423
Ga 0.875 0.452 0.077
B 0.250 0.750 0.500
B 0.500 0.500 0.000

! TlHg2HPt, optimized geometry, DFT GGA-PBE; values from VASP
! - Symmetry: P4/mmm (123)
! - E_tot: -2.46 eV/atom
! - Crystal system: tetragonal
&SYSTEM
  ibrav = 0, nat = 5, ntyp = 4
/
ATOMIC_SPECIES
Tl 204.38 Tl.upf
Hg 200.59 Hg.upf
H 1.01 H.upf
Pt 195.08 Pt.upf
CELL_PARAMETERS angstrom
5.496 0.000 0.000
0.000 5.496 0.000
0.000 0.000 3.514
ATOMIC_POSITIONS crystal
Tl 0.000 0.000 0.000
Hg 0.000 0.500 0.500
Hg 0.500 0.000 0.500
H 0.500 0.500 0.000
Pt 0.500 0.500 0.500

! MnInPd4, optimized geometry, DFT GGA-PBE; values from VASP
! - Symmetry: C2/m (12)
! - Crystal system: monoclinic
! - Calculated formation energy: -0.3390 eV per atom
&SYSTEM
  ibrav = 0, nat = 6, ntyp = 3
/
ATOMIC_SPECIES
Mn 54.94 Mn.upf
In 114.82 In.upf
Pd 106.42 Pd.upf
CELL_PARAMETERS angstrom
4.579 -1.900 0.000
4.579 1.900 0.000
-1.901 0.000 5.525
ATOMIC_POSITIONS crystal
Mn 0.000 0.000 0.000
In 0.000 0.000 0.500
Pd 0.335 0.335 0.163
Pd 0.339 0.339 0.677
Pd 0.661 0.661 0.323
Pd 0.665 0.665 0.837

! Cd3Ag, optimized geometry, DFT GGA-PBE; values from VASP
! - Symmetry: I4/mmm (139)
! - Crystal system: tetragonal
! - Calculated formation energy: -0.0069 eV per atom
&SYSTEM
  ibrav = 0, nat = 4, ntyp = 2
/
ATOMIC_SPECIES
Cd 112.41 Cd.upf
Ag 107.87 Ag.upf
CELL_PARAMETERS angstrom
-2.198 2.198 4.284
2.198 -2.198 4.284
2.198 2.198 -4.284
ATOMIC_POSITIONS crystal
Cd 0.000 0.000 0.000
Cd 0.250 0.750 0.500
Cd 0.750 0.250 0.500
Ag 0.500 0.500 0.000

! SiHgCl2, optimized geometry, DFT GGA-PBE; values from VASP
! - Uncorrected formation energy: -0.411 eV/atom
! - Symmetry: Pm (6)
! - Crystal system: monoclinic
&SYSTEM
  ibrav = 0, nat = 4, ntyp = 3
/
ATOMIC_SPECIES
Si 28.09 Si.upf
Hg 200.59 Hg.upf
Cl 35.45 Cl.upf
CELL_PARAMETERS angstrom
5.468 0.000 0.000
0.000 3.484 0.000
-2.009 0.000 7.693
ATOMIC_POSITIONS crystal
Si 0.000 0.000 0.000
Hg 0.349 0.500 0.385
Cl 0.689 0.500 0.988
Cl 0.988 0.000 0.734

! RbSnPd2Ru, optimized geometry, DFT GGA-PBE; values from VASP
! - Symmetry: P4/mmm (123)
! - Crystal system: tetragonal
! - Calculated formation energy: 1.1208 eV per atom
&SYSTEM
  ibrav = 0, nat = 5, ntyp = 4
/
ATOMIC_SPECIES
Rb 85.47 Rb.upf
Sn 118.71 Sn.upf
Pd 106.42 Pd.upf
Ru 101.07 Ru.upf
CELL_PARAMETERS angstrom
5.001 0.000 0.000
0.000 5.001 0.000
0.000 0.000 5.232
ATOMIC_POSITIONS crystal
Rb 0.000 0.000 0.000
Sn 0.500 0.500 0.000
Pd 0.000 0.500 0.500
Pd 0.500 0.000 0.500
Ru 0.000 0.000 0.500

! Tc2OsPd, optimized geometry, DFT GGA-PBE; values from VASP
! - Symmetry: I-42d (122)
! - Crystal system: tetragonal
! - Calculated formation energy: 0.7163 eV per atom
&SYSTEM
  ibrav = 0, nat = 8, ntyp = 3
/
ATOMIC_SPECIES
Tc 98.00 Tc.upf
Os 190.23 Os.upf
Pd 106.42 Pd.upf
CELL_PARAMETERS angstrom
-3.533 3.533 2.656
3.533 -3.533 2.656
3.533 3.533 -2.656
ATOMIC_POSITIONS crystal
Tc 0.090 0.125 0.465
Tc 0.375 0.910 0.035
Tc 0.660 0.625 0.535
Tc 0.875 0.340 0.965
Os 0.000 0.000 0.000
Os 0.750 0.250 0.500
Pd 0.250 0.750 0.500
Pd 0.500 0.500 0.000

! LaY7Ho3, optimized geometry, DFT GGA-PBE; values from VASP
! - Symmetry: Immm (71)
! - Crystal system: orthorhombic
! - Calculated formation energy: 0.2530 eV per atom
&SYSTEM
  ibrav = 0, nat = 11, ntyp = 3
/
ATOMIC_SPECIES
La 138.91 La.upf
Y 88.91 Y.upf
Ho 164.93 Ho.upf
CELL_PARAMETERS angstrom
-2.914 5.575 5.663
2.914 -5.575 5.663
2.914 5.575 -5.663
ATOMIC_POSITIONS crystal
La 0.000 0.000 0.000
Y 0.000 0.500 0.500
Y 0.099 0.305 0.794
Y 0.296 0.000 0.296
Y 0.489 0.695 0.794
Y 0.511 0.305 0.206
Y 0.704 0.000 0.704
Y 0.901 0.695 0.206
Ho 0.294 0.794 0.500
Ho 0.500 0.500 0.000
Ho 0.706 0.206 0.500

! NaSiPb2O4, optimized geometry, DFT GGA-PBE; values from VASP
! - Uncorrected formation energy: -1.650 eV/atom
! - Symmetry: Fmm2 (42)
! - Crystal system: orthorhombic
&SYSTEM
  ibrav = 0, nat = 8, ntyp = 4
/
ATOMIC_SPECIES
Na 22.99 Na.upf
Si 28.09 Si.upf
Pb 207.20 Pb.upf
O 16.00 O.upf
CELL_PARAMETERS angstrom
0.000 3.769 5.466
3.344 0.000 5.466
3.344 3.769 0.000
ATOMIC_POSITIONS crystal
Na 0.000 0.000 0.000
Si 0.519 0.519 0.481
Pb 0.247 0.247 0.253
Pb 0.747 0.747 0.753
O 0.255 0.622 0.378
O 0.406 0.815 0.594
O 0.622 0.255 0.745
O 0.815 0.406 0.185

Number 1: total magnetic moment 0.0 Bohr magnetons per cell. Number 2: total magnetic moment 3.1 Bohr magnetons per cell. Number 3: total magnetic moment 0.0 Bohr magnetons per cell. Number 4: total magnetic moment 12.0 Bohr magnetons per cell. Number 5: total magnetic moment 0.8 Bohr magnetons per cell. Number 6: total magnetic moment 0.4 Bohr magnetons per cell. Number 7: total magnetic moment 0.0 Bohr magnetons per cell. Number 8: total magnetic moment 0.0 Bohr magnetons per cell. Number 9: total magnetic moment 0.9 Bohr magnetons per cell. Number 10: total magnetic moment 0.0 Bohr magnetons per cell. Number 11: total magnetic moment 0.0 Bohr magnetons per cell. Number 12: total magnetic moment 3.0 Bohr magnetons per cell. Number 13: total magnetic moment 0.0 Bohr magnetons per cell. Number 14: total magnetic moment 0.0 Bohr magnetons per cell. Number 15: total magnetic moment 0.0 Bohr magnetons per cell. Number 16: total magnetic moment 0.0 Bohr magnetons per cell. Number 17: total magnetic moment 0.0 Bohr magnetons per cell. Number 18: total magnetic moment 0.0 Bohr magnetons per cell. Number 19: total magnetic moment 4.4 Bohr magnetons per cell. Number 20: total magnetic moment 0.0 Bohr magnetons per cell. Number 21: total magnetic moment 0.0 Bohr magnetons per cell. Number 22: total magnetic moment 1.6 Bohr magnetons per cell. Number 23: total magnetic moment 0.0 Bohr magnetons per cell. Number 24: total magnetic moment 0.0 Bohr magnetons per cell. Number 25: total magnetic moment 0.0 Bohr magnetons per cell.